(1)
DFT (GGA-PBE) results for crystalline GaCu2Pd2 at its relaxed geometry.

Unit cell a=6.4331 b=6.4331 c=3.7150 alpha=90.00 beta=90.00 gamma=90.00
Sites, in units of the cell vectors:
Pd 0.1487 0.3513 0.0000
Pd 0.6487 0.1487 0.0000
Pd 0.8513 0.6487 0.0000
Pd 0.3513 0.8513 0.0000
Cu 0.1489 0.6489 0.5000
Cu 0.6489 0.8511 0.5000
Cu 0.3511 0.1489 0.5000
Cu 0.8511 0.3511 0.5000
Ga 0.0000 0.0000 0.0000
Ga 0.5000 0.5000 0.0000

Results
- energy of formation from the pure elements (kcal/mol of atoms) = -3.8
- D(E_F) (states/eV per atom) = 0.33
- energy above the most stable polymorph in this dataset (meV/atom) = 66

***

(2)
DFT (GGA-PBE) results for crystalline Fe2Ni3Pt at its relaxed geometry.

Unit cell a=3.6199 b=6.8407 c=7.3606 alpha=122.41 beta=90.00 gamma=105.34
Site moments in Bohr magnetons follow the coordinates.
Sites, in units of the cell vectors:
Fe 0.7575 0.5151 0.1478  2.85
Fe 0.4127 0.8255 0.7711  2.88
Fe 0.5873 0.1745 0.2289  2.88
Fe 0.2425 0.4849 0.8522  2.85
Ni 0.2521 0.5041 0.3809  0.71
Ni 0.9169 0.8339 0.5399  0.68
Ni 0.0831 0.1661 0.4601  0.68
Ni 0.5837 0.1674 0.6999  0.70
Ni 0.4163 0.8326 0.3001  0.70
Ni 0.7479 0.4959 0.6191  0.71
Pt 0.0885 0.1771 0.9592  0.33
Pt 0.9115 0.8229 0.0408  0.33

Results
- energy of formation from the pure elements (kcal/mol of atoms) = -2.4
- D(E_F) (states/eV per atom) = 0.99
- energy above the most stable polymorph in this dataset (meV/atom) = 0

***

(3)
DFT (GGA-PBE) results for crystalline LaTlGeIr2 at its relaxed geometry.

Unit cell a=4.9923 b=5.7709 c=4.9923 alpha=90.00 beta=90.00 gamma=90.00
Sites, in units of the cell vectors:
Ge 0.5000 0.5000 0.5000
Tl 0.0000 0.0000 0.0000
Ir 0.0000 0.0000 0.5000
Ir 0.5000 0.0000 0.0000
La 0.0000 0.5000 0.0000

Results
- energy of formation from the pure elements (kcal/mol of atoms) = 31.4
- D(E_F) (states/eV per atom) = 1.19

***

(4)
DFT (GGA-PBE) results for crystalline Rb3U3TeSe8 at its relaxed geometry.

Unit cell a=8.7665 b=8.4049 c=9.2339 alpha=115.08 beta=90.00 gamma=121.43
Site moments in Bohr magnetons follow the coordinates.
Sites, in units of the cell vectors:
Se 0.2644 0.9452 0.7104  -0.07
Se 0.7707 0.5413 0.3120  -0.05
Se 0.2293 0.4587 0.6880  -0.05
Se 0.3192 0.0548 0.2896  -0.07
Se 0.7339 0.4677 0.6980  -0.05
Se 0.6808 0.9452 0.7104  -0.07
Se 0.7356 0.0548 0.2896  -0.07
Se 0.2661 0.5323 0.3020  -0.05
Rb 0.0000 0.5000 0.0000  0.00
Rb 0.0000 0.0000 0.0000  0.00
Rb 0.5000 0.5000 0.0000  0.00
U 0.5000 0.0000 0.5000  2.23
U 0.5000 0.5000 0.5000  2.34
U 0.0000 0.5000 0.5000  2.34
Te 0.0000 0.0000 0.5000  -0.01

Results
- ΔE_f (raw) (eV per atom) = -0.9894
- D(E_F) (states/eV per atom) = 1.38

***

(5)
DFT (GGA-PBE) results for crystalline Ta2PbW at its relaxed geometry.

Unit cell a=3.5323 b=3.5329 c=6.1522 alpha=90.00 beta=90.00 gamma=90.00
Sites, in units of the cell vectors:
W 0.0000 0.0000 0.4719
Ta 0.0000 0.0000 0.0266
Ta 0.5000 0.5000 0.2534
Pb 0.5000 0.5000 0.7481

Results
- energy of formation from the pure elements (kcal/mol of atoms) = 9.1
- D(E_F) (states/eV per atom) = 0.57

***

(6)
DFT (GGA-PBE) results for crystalline Cd6AsPd12 at its relaxed geometry.

Unit cell a=6.9686 b=6.9686 c=6.9686 alpha=94.20 beta=94.20 gamma=94.20
Sites, in units of the cell vectors:
Pd 0.6530 0.9696 0.8802
Pd 0.2152 0.4415 0.5375
Pd 0.9696 0.8802 0.6530
Pd 0.5585 0.4625 0.7848
Pd 0.7848 0.5585 0.4625
Pd 0.8802 0.6530 0.9696
Pd 0.4415 0.5375 0.2152
Pd 0.0304 0.1198 0.3470
Pd 0.4625 0.7848 0.5585
Pd 0.1198 0.3470 0.0304
Pd 0.5375 0.2152 0.4415
Pd 0.3470 0.0304 0.1198
Cd 0.2718 0.6874 0.8769
Cd 0.7282 0.3126 0.1231
Cd 0.3126 0.1231 0.7282
Cd 0.6874 0.8769 0.2718
Cd 0.1231 0.7282 0.3126
Cd 0.8769 0.2718 0.6874
As 0.0000 0.0000 0.0000

Results
- energy of formation from the pure elements (kcal/mol of atoms) = -4.7
- D(E_F) (states/eV per atom) = 0.41

***

Number 5 is which compound? Ta2PbW

***

What is the D(E_F) in the second record? 0.99 states/eV per atom

***

Which value of D(E_F) does entry 3 give? 1.19 states/eV per atom